No. 1
The following is a DFT calculation (PBE) of KAs2Ru after structural relaxation.

Offset from the most stable computed form (meV per atom): 3.2
Theoretical density (g cm⁻³): 5.5
Symmetry: C2/m
Crystal system: monoclinic
Magnetization (μB/f.u.): 0.00
E (eV/atom): -5.12

Geometry as POSCAR:
```
KAs2Ru
1.0
3.8615 -1.5779 0.0000
3.8615 1.5779 0.0000
-1.1940 0.0000 7.1505
K As Ru
1 2 1
direct
0.0000 0.0000 0.0000
0.2291 0.2291 0.6647
0.7709 0.7709 0.3353
0.5000 0.5000 0.5000
```

No. 2
The following is a DFT calculation (PBE) of Ba2CdMo after structural relaxation.

Theoretical density (g cm⁻³): 5.3
Symmetry: C2/m
Crystal system: monoclinic
Magnetization (μB/f.u.): 2.70
E (eV/atom): -3.07

Geometry as POSCAR:
```
Ba2CdMo
1.0
4.2721 -1.8543 0.0000
4.2721 1.8543 0.0000
-1.4693 0.0000 9.5206
Ba Cd Mo
2 1 1
direct
0.2467 0.2467 0.2201
0.7533 0.7533 0.7799
0.0000 0.0000 0.5000
0.5000 0.5000 0.0000
```

No. 3
The following is a DFT calculation (PBE) of TaInP4 after structural relaxation.

Theoretical density (g cm⁻³): 7.1
Symmetry: F-43m
Crystal system: cubic
Magnetization (μB/f.u.): 0.00
E (eV/atom): -5.43

Geometry as POSCAR:
```
TaInP4
1.0
0.0000 3.6537 3.6537
3.6537 0.0000 3.6537
3.6537 3.6537 0.0000
Ta In P
1 1 4
direct
0.0000 0.0000 0.0000
0.2500 0.2500 0.2500
0.1122 0.6293 0.6293
0.6293 0.1122 0.6293
0.6293 0.6293 0.1122
0.6293 0.6293 0.6293
```

No. 4
The following is a DFT calculation (PBE) of Sb2AsPt after structural relaxation.

Theoretical density (g cm⁻³): 9.3
Symmetry: R3m
Energy relative to the elements, uncorrected (meV per atom): -118
Crystal system: trigonal
Magnetization (μB/f.u.): 0.00
E (eV/atom): -4.85

Geometry as POSCAR:
```
Sb2AsPt
1.0
1.9949 1.1518 6.6742
-1.9949 1.1518 6.6742
0.0000 -2.3036 6.6742
Sb As Pt
2 1 1
direct
0.0000 0.0000 0.0000
0.2264 0.2264 0.2264
0.7534 0.7534 0.7534
0.4882 0.4882 0.4882
```

> The lowest theoretical density belongs to which entry?

Ba2CdMo